Entry 1:
Density functional theory data (GGA-PBE) for a relaxed Na3SmSb2Te6 crystal.

Lattice parameters (Å, degrees): 7.743 13.418 7.996 90.00 108.84 90.00
Space group C2/m (No. 12)
Symmetry-distinct sites (fractional):
Na 0.000 0.000 0.000 [2 per cell]
Na 0.000 0.331 0.000 [4 per cell]
Sm 0.000 0.500 0.500 [2 per cell]
Sb 0.000 0.167 0.500 [4 per cell]
Te 0.238 0.000 0.733 [4 per cell]
Te 0.246 0.330 0.731 [8 per cell]

Calculated values
Total energy, eV/cell: -89.33
Total moment, μB/f.u.: 0.00
Formation energy from raw total energies, meV per atom: -741



Entry 2:
Density functional theory data (GGA-PBE) for a relaxed TbWC crystal.

Lattice parameters (Å, degrees): 3.1986 3.1986 5.4705 90.00 90.00 120.00
Space group P3m1 (No. 156)
Symmetry-distinct sites (fractional):
Tb 0.0000 0.0000 0.0000 [1 per cell]
W 0.6667 0.3333 0.5090 [1 per cell]
C 0.3333 0.6667 0.7064 [1 per cell]

Calculated values
Calculated formation energy, eV/f.u.: 0.21
Total energy, eV/cell: -26.60
Total moment, μB/f.u.: 0.52
DOS at the Fermi energy, states/eV per cell: 2.8



Entry 3:
Density functional theory data (GGA-PBE) for a relaxed LiAs2Ru crystal.

Lattice parameters (Å, degrees): 3.010 3.010 7.055 90.00 90.00 90.00
Space group P4/mmm (No. 123)
Symmetry-distinct sites (fractional):
Li 0.000 0.000 0.000 [1 per cell]
As 0.500 0.500 0.277 [2 per cell]
Ru 0.000 0.000 0.500 [1 per cell]

Calculated values
Calculated formation energy, eV/f.u.: -1.12
Total energy, eV/cell: -21.60
Total moment, μB/f.u.: 0.01
DOS at the Fermi energy, states/eV per cell: 2.9



Entry 4:
Density functional theory data (GGA-PBE) for a relaxed GdTiZnGa crystal.

Lattice parameters (Å, degrees): 6.771 6.771 6.771 90.00 90.00 90.00
Space group F-43m (No. 216)
Symmetry-distinct sites (fractional):
Gd 0.000 0.000 0.000 [4 per cell]
Ti 0.000 0.000 0.500 [4 per cell]
Zn 0.250 0.250 0.250 [4 per cell]
Ga 0.250 0.250 0.750 [4 per cell]

Calculated values
Calculated formation energy, eV/f.u.: -1.10
Total energy, eV/cell: -109.52
Total moment, μB/f.u.: 7.12
DOS at the Fermi energy, states/eV per cell: 8.7



Entry 5:
Density functional theory data (GGA-PBE) for a relaxed Ac3TmIr2 crystal.

Lattice parameters (Å, degrees): 17.335 4.480 11.694 90.00 116.97 90.00
Space group C2/m (No. 12)
Symmetry-distinct sites (fractional):
Ac 0.050 0.000 0.238 [4 per cell]
Ac 0.160 0.500 0.008 [4 per cell]
Ac 0.217 0.000 0.609 [4 per cell]
Tm 0.071 0.500 0.655 [4 per cell]
Ir 0.113 0.500 0.437 [4 per cell]
Ir 0.140 0.000 0.820 [4 per cell]

Calculated values
Calculated formation energy, eV/f.u.: -3.73
Total energy, eV/cell: -152.98
Total moment, μB/f.u.: 0.00
DOS at the Fermi energy, states/eV per cell: 16.8



Entry 6:
Density functional theory data (GGA-PBE) for a relaxed Ag6TeBr12 crystal.

Lattice parameters (Å, degrees): 11.3702 11.3702 18.0388 90.00 90.00 120.00
Space group R-3 (No. 148, hexagonal axes)
Symmetry-distinct sites (fractional):
Ag 0.0344 0.2604 0.1589 [18 per cell]
Te 0.0000 0.0000 0.5000 [3 per cell]
Br 0.0222 0.2077 0.8902 [18 per cell]
Br 0.0727 0.2207 0.4100 [18 per cell]

Calculated values
Total energy, eV/cell: -137.12
Total moment, μB/f.u.: 0.00
Formation energy from raw total energies, meV per atom: -283
DOS at the Fermi energy, states/eV per cell: 33.6



Entry 7:
Density functional theory data (GGA-PBE) for a relaxed Cr2Te6Ir crystal.

Lattice parameters (Å, degrees): 13.744 3.885 9.056 90.00 103.38 90.00
Space group C2/m (No. 12)
Symmetry-distinct sites (fractional):
Cr 0.178 0.000 0.350 [4 per cell]
Te 0.036 0.500 0.304 [4 per cell]
Te 0.138 0.000 0.041 [4 per cell]
Te 0.185 0.000 0.647 [4 per cell]
Ir 0.000 0.500 0.000 [2 per cell]

Calculated values
Total energy, eV/cell: -97.46
Total moment, μB/f.u.: 4.74
Formation energy from raw total energies, meV per atom: -197
DOS at the Fermi energy, states/eV per cell: 9.9



Entry 8:
Density functional theory data (GGA-PBE) for a relaxed LaPr2PuAs4 crystal.

Lattice parameters (Å, degrees): 7.416 4.288 7.416 90.00 109.46 90.00
Space group P2/m (No. 10)
Symmetry-distinct sites (fractional):
La 0.000 0.000 0.000 [1 per cell]
Pr 0.500 0.000 0.500 [1 per cell]
Pr 0.500 0.500 0.000 [1 per cell]
Pu 0.000 0.500 0.500 [1 per cell]
As 0.242 0.000 0.740 [2 per cell]
As 0.247 0.500 0.256 [2 per cell]

Calculated values
Calculated formation energy, eV/f.u.: -11.02
Total energy, eV/cell: -58.44
Total moment, μB/f.u.: 4.92
DOS at the Fermi energy, states/eV per cell: 14.9



> What is the total energy in the seventh record?

-97.46 eV/cell